No. 1
The following is a DFT calculation (GGA-PBE) of crystalline PmTmInCu at its relaxed geometry.

Geometry as CIF:
```
data_PmTmInCu
_chemical_formula_sum 'Pm4 Tm4 In4 Cu4'
_space_group_name_H-M_alt 'F -4 3 m'
_space_group_IT_number 216
_space_group_name_Hall 'F -4 2 3'
_cell_length_a 7.352
_cell_length_b 7.352
_cell_length_c 7.352
_cell_angle_alpha 90.00
_cell_angle_beta 90.00
_cell_angle_gamma 90.00
loop_
_atom_site_label
_atom_site_type_symbol
_atom_site_fract_x
_atom_site_fract_y
_atom_site_fract_z
Pm1 Pm 0.000 0.000 0.000
Tm1 Tm 0.000 0.000 0.500
In1 In 0.250 0.250 0.750
Cu1 Cu 0.250 0.250 0.250
```

No. 2
The following is a DFT calculation (GGA-PBE) of crystalline PmYInCu at its relaxed geometry.

Geometry as CIF:
```
data_PmYInCu
_chemical_formula_sum 'Pm4 Y4 In4 Cu4'
_space_group_name_H-M_alt 'F -4 3 m'
_space_group_IT_number 216
_space_group_name_Hall 'F -4 2 3'
_cell_length_a 7.408
_cell_length_b 7.408
_cell_length_c 7.408
_cell_angle_alpha 90.00
_cell_angle_beta 90.00
_cell_angle_gamma 90.00
loop_
_atom_site_label
_atom_site_type_symbol
_atom_site_fract_x
_atom_site_fract_y
_atom_site_fract_z
Pm1 Pm 0.000 0.000 0.000
Y1 Y 0.000 0.000 0.500
In1 In 0.250 0.250 0.750
Cu1 Cu 0.250 0.250 0.250
```

No. 3
The following is a DFT calculation (GGA-PBE) of crystalline PrIn2Cu6 at its relaxed geometry.

Geometry as CIF:
```
data_PrIn2Cu6
_chemical_formula_sum 'Pr2 In4 Cu12'
_space_group_name_H-M_alt 'I m m m'
_space_group_IT_number 71
_space_group_name_Hall '-I 2 2'
_cell_length_a 3.960
_cell_length_b 6.613
_cell_length_c 12.426
_cell_angle_alpha 90.00
_cell_angle_beta 90.00
_cell_angle_gamma 90.00
loop_
_atom_site_label
_atom_site_type_symbol
_atom_site_fract_x
_atom_site_fract_y
_atom_site_fract_z
Pr1 Pr 0.000 0.000 0.000
In1 In 0.000 0.500 0.131
Cu1 Cu 0.000 0.179 0.500
Cu2 Cu 0.000 0.302 0.315
```

Number 1: energy relative to the elements -0.29 eV/atom. Number 2: energy relative to the elements -0.30 eV/atom. Number 3: energy relative to the elements 0.01 eV/atom.